Record 1
SrTcN3 | GGA-PBE | relaxed

The structure in CIF format:
```
data_SrTcN3
_cell_length_a 5.653
_cell_length_b 3.840
_cell_length_c 7.459
_cell_angle_alpha 90.00
_cell_angle_beta 120.56
_cell_angle_gamma 90.00
_symmetry_space_group_name_H-M 'P 1'
_symmetry_Int_Tables_number 1
_symmetry_space_group_name_Hall 'P 1'
loop_
_atom_site_label
_atom_site_fract_x
_atom_site_fract_y
_atom_site_fract_z
_atom_site_occupancy
Tc1 0.984 0.250 0.358 1
N1 0.168 0.414 0.875 1
Tc2 0.016 0.750 0.642 1
N2 0.168 0.086 0.875 1
N3 0.832 0.914 0.125 1
N4 0.832 0.586 0.125 1
N5 0.758 0.250 0.485 1
Sr1 0.401 0.750 0.232 1
N6 0.242 0.750 0.515 1
Sr2 0.599 0.250 0.768 1
```

Calculated values
Space-group type   P2_1/m, No. 11
DOS at the Fermi energy   4.550 states/eV per cell
Energy relative to the elements, uncorrected   -22.4 kJ/mol of atoms
Size of the total moment   0.0 μB per cell
E   -76.37 eV per cell

Record 2
Ce2As3PPd4 | GGA-PBE | relaxed

The structure in CIF format:
```
data_Ce2As3PPd4
_cell_length_a 4.431
_cell_length_b 4.431
_cell_length_c 9.710
_cell_angle_alpha 90.00
_cell_angle_beta 90.00
_cell_angle_gamma 90.00
_symmetry_space_group_name_H-M 'P 1'
_symmetry_Int_Tables_number 1
_symmetry_space_group_name_Hall 'P 1'
loop_
_atom_site_label
_atom_site_fract_x
_atom_site_fract_y
_atom_site_fract_z
_atom_site_occupancy
Ce1 0.000 0.500 0.743 1
Pd1 0.500 0.500 0.000 1
As1 0.500 0.000 0.865 1
Pd2 0.000 0.500 0.388 1
Ce2 0.500 0.000 0.257 1
P1 0.500 0.500 0.500 1
Pd3 0.500 0.000 0.612 1
Pd4 0.000 0.000 0.000 1
As2 0.000 0.500 0.135 1
As3 0.000 0.000 0.500 1
```

Calculated values
Space-group type   P-4m2, No. 115
DOS at the Fermi energy   12.774 states/eV per cell
Size of the total moment   1.7 μB per cell
Formation energy   -0.8600 eV per atom
E   -60.60 eV per cell

Record 3
HfPRu3 | GGA-PBE | relaxed

The structure in CIF format:
```
data_HfPRu3
_cell_length_a 4.767
_cell_length_b 4.767
_cell_length_c 4.767
_cell_angle_alpha 90.00
_cell_angle_beta 90.00
_cell_angle_gamma 90.00
_symmetry_space_group_name_H-M 'P 1'
_symmetry_Int_Tables_number 1
_symmetry_space_group_name_Hall 'P 1'
loop_
_atom_site_label
_atom_site_fract_x
_atom_site_fract_y
_atom_site_fract_z
_atom_site_occupancy
Ru1 0.500 0.000 0.000 1
Ru2 0.000 0.000 0.500 1
P1 0.500 0.500 0.500 1
Hf1 0.000 0.000 0.000 1
Ru3 0.000 0.500 0.000 1
```

Calculated values
Space-group type   Pm-3m, No. 221
DOS at the Fermi energy   5.655 states/eV per cell
Size of the total moment   3.3 μB per cell
Formation energy   1.8423 eV per atom
E   -33.98 eV per cell

Record 4
K3Ce2PuS6 | GGA-PBE | relaxed

The structure in CIF format:
```
data_K3Ce2PuS6
_cell_length_a 7.240
_cell_length_b 7.240
_cell_length_c 7.732
_cell_angle_alpha 98.98
_cell_angle_beta 98.98
_cell_angle_gamma 120.00
_symmetry_space_group_name_H-M 'P 1'
_symmetry_Int_Tables_number 1
_symmetry_space_group_name_Hall 'P 1'
loop_
_atom_site_label
_atom_site_fract_x
_atom_site_fract_y
_atom_site_fract_z
_atom_site_occupancy
S1 0.600 0.932 0.796 1
Pu1 0.000 0.000 0.000 1
K1 0.167 0.833 0.500 1
K2 0.500 0.500 0.500 1
S2 0.068 0.400 0.204 1
K3 0.833 0.167 0.500 1
S3 0.400 0.068 0.204 1
Ce1 0.333 0.667 0.000 1
S4 0.736 0.736 0.204 1
S5 0.932 0.600 0.796 1
Ce2 0.667 0.333 0.000 1
S6 0.264 0.264 0.796 1
```

Calculated values
Space-group type   C2/m, No. 12
DOS at the Fermi energy   22.185 states/eV per cell
Energy relative to the elements, uncorrected   -167.0 kJ/mol of atoms
Size of the total moment   7.0 μB per cell
E   -75.02 eV per cell

What did the first record say?
SrTcN3 | GGA-PBE | relaxed

The structure in CIF format:
```
data_SrTcN3
_cell_length_a 5.653
_cell_length_b 3.840
_cell_length_c 7.459
_cell_angle_alpha 90.00
_cell_angle_beta 120.56
_cell_angle_gamma 90.00
_symmetry_space_group_name_H-M 'P 1'
_symmetry_Int_Tables_number 1
_symmetry_space_group_name_Hall 'P 1'
loop_
_atom_site_label
_atom_site_fract_x
_atom_site_fract_y
_atom_site_fract_z
_atom_site_occupancy
Tc1 0.984 0.250 0.358 1
N1 0.168 0.414 0.875 1
Tc2 0.016 0.750 0.642 1
N2 0.168 0.086 0.875 1
N3 0.832 0.914 0.125 1
N4 0.832 0.586 0.125 1
N5 0.758 0.250 0.485 1
Sr1 0.401 0.750 0.232 1
N6 0.242 0.750 0.515 1
Sr2 0.599 0.250 0.768 1
```

Calculated values
Space-group type   P2_1/m, No. 11
DOS at the Fermi energy   4.550 states/eV per cell
Energy relative to the elements, uncorrected   -22.4 kJ/mol of atoms
Size of the total moment   0.0 μB per cell
E   -76.37 eV per cell